Entry 1:
A plane-wave DFT calculation with PBE-GGA was carried out for a relaxed Gd2ThBi crystal.

The calculation puts the total magnetic moment at 14.67 μB per formula unit. The theoretical density is 10.50 g cm⁻³. As for the raw total energy: -40.755 eV for the cell shown. The calculation puts the offset from the most stable computed form at 41 meV per atom.

It has space group P4/mmm (No. 123), with a = 4.991 Å, b = 4.991 Å, c = 4.796 Å, α = 90.00°, β = 90.00° and γ = 90.00°. The inequivalent atoms are Gd at (0.000, 0.500, 0.000), Th at (0.000, 0.000, 0.500) and Bi at (0.500, 0.500, 0.500).

=====

Entry 2:
A plane-wave DFT calculation with PBE-GGA was carried out for a relaxed Gd2ThBi crystal.

The calculation puts the total magnetic moment at 14.31 μB per formula unit. The theoretical density is 9.44 g cm⁻³. As for the raw total energy: -118.368 eV for the cell shown. The calculation puts the offset from the most stable computed form at 365 meV per atom.

It has space group R-3m (No. 166, hexagonal axes), with a = 3.5710 Å, b = 3.5710 Å, c = 36.0949 Å, α = 90.00°, β = 90.00° and γ = 120.00°. The inequivalent atoms are Gd at (0.0000, 0.0000, 0.0887), Th at (0.0000, 0.0000, 0.5000) and Bi at (0.0000, 0.0000, 0.0000).

=====

Entry 3:
A plane-wave DFT calculation with PBE-GGA was carried out for a relaxed Gd2ThBi crystal.

The calculation puts the total magnetic moment at 14.32 μB per formula unit. The theoretical density is 10.31 g cm⁻³. As for the raw total energy: -40.918 eV for the cell shown. The calculation puts the offset from the most stable computed form at 0 meV per atom.

It has space group P4/mmm (No. 123), with a = 4.002 Å, b = 4.002 Å, c = 7.598 Å, α = 90.00°, β = 90.00° and γ = 90.00°. The inequivalent atoms are Gd at (0.000, 0.000, 0.224), Th at (0.500, 0.500, 0.500) and Bi at (0.500, 0.500, 0.000).

=====

Entry 4:
A plane-wave DFT calculation with PBE-GGA was carried out for a relaxed GdThBi crystal.

The calculation puts the total magnetic moment at 7.44 μB per formula unit. The theoretical density is 10.53 g cm⁻³. As for the raw total energy: -52.928 eV for the cell shown. The calculation puts the offset from the most stable computed form at 0 meV per atom.

It has space group I4mm (No. 107), with a = 4.115 Å, b = 4.115 Å, c = 11.138 Å, α = 90.00°, β = 90.00° and γ = 90.00°. The inequivalent atoms are Gd at (0.000, 0.000, 0.000), Th at (0.000, 0.000, 0.693) and Bi at (0.000, 0.000, 0.354).